# GGA-PBEsol Bi3As2O10, relaxed
data_Bi3As2O10
_space_group_name_H-M_alt 'P 1'
_space_group_IT_number 1
_cell_length_a 6.902
_cell_length_b 7.151
_cell_length_c 9.434
_cell_angle_alpha 111.71
_cell_angle_beta 106.11
_cell_angle_gamma 91.30
loop_
_space_group_symop_operation_xyz
'x,y,z'
loop_
_atom_site_label
_atom_site_type_symbol
_atom_site_fract_x
_atom_site_fract_y
_atom_site_fract_z
Bi1 Bi 0.232 0.608 0.486
Bi2 Bi 0.204 0.822 0.899
Bi3 Bi 0.265 0.221 0.689
Bi4 Bi 0.735 0.779 0.311
Bi5 Bi 0.796 0.178 0.101
Bi6 Bi 0.768 0.392 0.514
O1 O 0.099 0.455 0.617
O2 O 0.901 0.545 0.383
O3 O 0.521 0.500 0.261
O4 O 0.390 0.133 0.045
O5 O 0.052 0.972 0.127
O6 O 0.479 0.500 0.739
O7 O 0.262 0.430 0.935
O8 O 0.948 0.028 0.873
O9 O 0.887 0.152 0.622
O10 O 0.215 0.886 0.688
O11 O 0.603 0.173 0.799
O12 O 0.785 0.114 0.312
O13 O 0.118 0.395 0.183
O14 O 0.738 0.570 0.065
O15 O 0.113 0.848 0.378
O16 O 0.645 0.809 0.553
O17 O 0.882 0.605 0.817
O18 O 0.610 0.867 0.955
O19 O 0.355 0.191 0.447
O20 O 0.397 0.827 0.201
As1 As 0.689 0.633 0.900
As2 As 0.234 0.966 0.291
As3 As 0.766 0.034 0.709
As4 As 0.311 0.367 0.100
# **Raw formation energy**: -1.204 eV/atom
# **N(E_F)**: 12.27 states/eV per cell
# **SG**: No. 2
# **Electronic total energy**: -6.242 eV/atom

=====

# GGA-PBEsol ZnAg2Ru, relaxed
data_ZnAg2Ru
_space_group_name_H-M_alt 'P 1'
_space_group_IT_number 1
_cell_length_a 2.759
_cell_length_b 2.759
_cell_length_c 9.149
_cell_angle_alpha 81.33
_cell_angle_beta 81.33
_cell_angle_gamma 60.00
loop_
_space_group_symop_operation_xyz
'x,y,z'
loop_
_atom_site_label
_atom_site_type_symbol
_atom_site_fract_x
_atom_site_fract_y
_atom_site_fract_z
Ru1 Ru 0.504 0.504 0.487
Ag1 Ag 0.997 0.997 0.010
Ag2 Ag 0.752 0.752 0.744
Zn1 Zn 0.247 0.247 0.259
# **N(E_F)**: 2.42 states/eV per cell
# **SG**: No. 160
# **Electronic total energy**: -4.430 eV/atom
# **Energy of formation from the pure elements**: 164 meV per atom

=====

# GGA-PBEsol TaIrBr, relaxed
data_TaIrBr
_space_group_name_H-M_alt 'P 1'
_space_group_IT_number 1
_cell_length_a 3.020
_cell_length_b 3.020
_cell_length_c 6.221
_cell_angle_alpha 104.05
_cell_angle_beta 104.05
_cell_angle_gamma 90.00
loop_
_space_group_symop_operation_xyz
'x,y,z'
loop_
_atom_site_label
_atom_site_type_symbol
_atom_site_fract_x
_atom_site_fract_y
_atom_site_fract_z
Br1 Br 0.981 0.981 0.962
Ta1 Ta 0.327 0.327 0.653
Ir1 Ir 0.692 0.692 0.385
# **Raw formation energy**: 0.001 eV/atom
# **N(E_F)**: 1.92 states/eV per cell
# **SG**: No. 107
# **Electronic total energy**: -8.081 eV/atom

=====

# GGA-PBEsol HfNbC3, relaxed
data_HfNbC3
_space_group_name_H-M_alt 'P 1'
_space_group_IT_number 1
_cell_length_a 4.062
_cell_length_b 4.062
_cell_length_c 4.062
_cell_angle_alpha 90.00
_cell_angle_beta 90.00
_cell_angle_gamma 90.00
loop_
_space_group_symop_operation_xyz
'x,y,z'
loop_
_atom_site_label
_atom_site_type_symbol
_atom_site_fract_x
_atom_site_fract_y
_atom_site_fract_z
C1 C 0.500 0.000 0.000
C2 C 0.000 0.500 0.000
C3 C 0.000 0.000 0.500
Nb1 Nb 0.500 0.500 0.500
Hf1 Hf 0.000 0.000 0.000
# **N(E_F)**: 4.99 states/eV per cell
# **SG**: No. 221
# **Electronic total energy**: -8.153 eV/atom
# **Energy of formation from the pure elements**: 1899 meV per atom

=====

# GGA-PBEsol KZnCu2, relaxed
data_KZnCu2
_space_group_name_H-M_alt 'P 1'
_space_group_IT_number 1
_cell_length_a 2.726
_cell_length_b 3.661
_cell_length_c 7.207
_cell_angle_alpha 90.00
_cell_angle_beta 90.00
_cell_angle_gamma 90.00
loop_
_space_group_symop_operation_xyz
'x,y,z'
loop_
_atom_site_label
_atom_site_type_symbol
_atom_site_fract_x
_atom_site_fract_y
_atom_site_fract_z
Cu1 Cu 0.000 0.000 0.335
Cu2 Cu 0.000 0.000 0.665
Zn1 Zn 0.500 0.500 0.500
K1 K 0.500 0.500 0.000
# **N(E_F)**: 1.28 states/eV per cell
# **SG**: No. 47
# **Electronic total energy**: -2.531 eV/atom
# **Energy of formation from the pure elements**: 315 meV per atom

=====

# GGA-PBEsol FePtN2F, relaxed
data_FePtN2F
_space_group_name_H-M_alt 'P 1'
_space_group_IT_number 1
_cell_length_a 3.671
_cell_length_b 3.671
_cell_length_c 5.387
_cell_angle_alpha 90.00
_cell_angle_beta 90.00
_cell_angle_gamma 90.00
loop_
_space_group_symop_operation_xyz
'x,y,z'
loop_
_atom_site_label
_atom_site_type_symbol
_atom_site_fract_x
_atom_site_fract_y
_atom_site_fract_z
Fe1 Fe 0.500 0.500 0.500
N1 N 0.500 0.000 0.000
N2 N 0.000 0.500 0.000
Pt1 Pt 0.000 0.000 0.000
F1 F 0.000 0.000 0.500
# **Raw formation energy**: 1.020 eV/atom
# **N(E_F)**: 5.68 states/eV per cell
# **Excess energy over the best structure of this formula in the dataset**: 372.8 meV/atom
# **SG**: No. 123
# **Electronic total energy**: -5.962 eV/atom

=====

What did the sixth record say?
# GGA-PBEsol FePtN2F, relaxed
data_FePtN2F
_space_group_name_H-M_alt 'P 1'
_space_group_IT_number 1
_cell_length_a 3.671
_cell_length_b 3.671
_cell_length_c 5.387
_cell_angle_alpha 90.00
_cell_angle_beta 90.00
_cell_angle_gamma 90.00
loop_
_space_group_symop_operation_xyz
'x,y,z'
loop_
_atom_site_label
_atom_site_type_symbol
_atom_site_fract_x
_atom_site_fract_y
_atom_site_fract_z
Fe1 Fe 0.500 0.500 0.500
N1 N 0.500 0.000 0.000
N2 N 0.000 0.500 0.000
Pt1 Pt 0.000 0.000 0.000
F1 F 0.000 0.000 0.500
# **Raw formation energy**: 1.020 eV/atom
# **N(E_F)**: 5.68 states/eV per cell
# **Excess energy over the best structure of this formula in the dataset**: 372.8 meV/atom
# **SG**: No. 123
# **Electronic total energy**: -5.962 eV/atom